Record 1
Computed, not measured: crystalline ZrAlMoSe2 at its relaxed geometry at the GGA-PBEsol level of DFT.

Structure (POSCAR):
```
ZrAlMoSe2
1.0
4.760 0.000 0.000
0.000 4.760 0.000
0.000 0.000 5.178
Zr Al Mo Se
1 1 1 2
direct
0.000 0.000 0.000
0.500 0.500 0.000
0.000 0.000 0.500
0.000 0.500 0.500
0.500 0.000 0.500
```

Results
Its magnetic moment is 0.0 μB per formula unit. For the calculated density, the calculation gives 5.3 Mg/m³. The raw total energy is -6.13 eV/atom. As for the symmetry: No. 123.

Record 2
Computed, not measured: crystalline SrNiBr2 at its relaxed geometry at the GGA-PBEsol level of DFT.

Structure (POSCAR):
```
SrNiBr2
1.0
3.652 0.000 0.000
0.000 3.652 0.000
0.000 0.000 6.797
Sr Ni Br
1 1 2
direct
0.000 0.000 0.000
0.000 0.000 0.500
0.500 0.500 0.260
0.500 0.500 0.740
```

Results
Its magnetic moment is 0.3 μB per formula unit. For the calculated density, the calculation gives 5.6 Mg/m³. The raw total energy is -3.38 eV/atom. As for the symmetry: No. 123.

Record 3
Computed, not measured: crystalline KCdPt4 at its relaxed geometry at the GGA-PBEsol level of DFT.

Structure (POSCAR):
```
KCdPt4
1.0
0.000 3.781 3.781
3.781 0.000 3.781
3.781 3.781 0.000
K Cd Pt
1 1 4
direct
0.000 0.000 0.000
0.750 0.750 0.750
0.375 0.375 0.375
0.375 0.375 0.874
0.375 0.874 0.375
0.874 0.375 0.375
```

Results
As for the formation energy: -0.1062 eV/atom. Its magnetic moment is 0.0 μB per formula unit. For the calculated density, the calculation gives 14.3 Mg/m³. The raw total energy is -5.14 eV/atom. As for the symmetry: No. 216.

Record 4
Computed, not measured: crystalline La2RhAu at its relaxed geometry at the GGA-PBEsol level of DFT.

Structure (POSCAR):
```
La2RhAu
1.0
4.515 0.000 0.000
0.000 2.024 5.367
0.000 -2.024 5.367
La Rh Au
2 1 1
direct
0.000 0.000 0.000
0.500 0.284 0.284
0.000 0.751 0.751
0.500 0.569 0.569
```

Results
As for the formation energy: -0.7345 eV/atom. Its magnetic moment is 0.0 μB per formula unit. For the calculated density, the calculation gives 9.8 Mg/m³. The raw total energy is -6.42 eV/atom. As for the symmetry: No. 38.

Record 5
Computed, not measured: crystalline ZrFeSi2Os at its relaxed geometry at the GGA-PBEsol level of DFT.

Structure (POSCAR):
```
ZrFeSi2Os
1.0
4.753 0.000 0.000
0.000 4.753 0.000
0.000 0.000 4.249
Zr Fe Si Os
1 1 2 1
direct
0.000 0.000 0.000
0.000 0.000 0.500
0.000 0.500 0.000
0.500 0.000 0.000
0.500 0.500 0.500
```

Results
Its magnetic moment is 2.5 μB per formula unit. For the calculated density, the calculation gives 6.8 Mg/m³. The raw total energy is -6.37 eV/atom. As for the symmetry: No. 123.

Record 6
Computed, not measured: crystalline Na2CuAs2 at its relaxed geometry at the GGA-PBEsol level of DFT.

Structure (POSCAR):
```
Na2CuAs2
1.0
6.358 0.000 0.000
0.000 6.358 0.000
0.000 0.000 4.796
Na Cu As
4 2 4
direct
0.170 0.330 0.000
0.330 0.830 0.000
0.670 0.170 0.000
0.830 0.670 0.000
0.000 0.000 0.500
0.500 0.500 0.500
0.142 0.642 0.500
0.358 0.142 0.500
0.642 0.858 0.500
0.858 0.358 0.500
```

Results
As for the formation energy: -0.2649 eV/atom. Its magnetic moment is 0.0 μB per formula unit. For the calculated density, the calculation gives 4.4 Mg/m³. The raw total energy is -3.73 eV/atom. As for the symmetry: No. 127.

Record 7
Computed, not measured: crystalline ScInCl2 at its relaxed geometry at the GGA-PBEsol level of DFT.

Structure (POSCAR):
```
ScInCl2
1.0
3.145 0.000 0.000
0.000 3.145 0.000
0.000 0.000 9.079
Sc In Cl
1 1 2
direct
0.000 0.000 0.000
0.000 0.000 0.500
0.500 0.500 0.166
0.500 0.500 0.834
```

Results
Its magnetic moment is 0.0 μB per formula unit. For the calculated density, the calculation gives 4.3 Mg/m³. The raw total energy is -4.59 eV/atom. As for the symmetry: No. 123.

Record 8
Computed, not measured: crystalline SbRhSCl2 at its relaxed geometry at the GGA-PBEsol level of DFT.

Structure (POSCAR):
```
SbRhSCl2
1.0
4.619 0.000 0.000
0.000 4.619 0.000
0.000 0.000 4.679
Sb Rh S Cl
1 1 1 2
direct
0.000 0.000 0.000
0.500 0.500 0.500
0.500 0.500 0.000
0.000 0.500 0.500
0.500 0.000 0.500
```

Results
Its magnetic moment is 0.0 μB per formula unit. For the calculated density, the calculation gives 5.5 Mg/m³. The raw total energy is -4.24 eV/atom. As for the symmetry: No. 123.

Record 9
Computed, not measured: crystalline Cu2IrPt at its relaxed geometry at the GGA-PBEsol level of DFT.

Structure (POSCAR):
```
Cu2IrPt
1.0
4.314 -1.329 0.000
4.314 1.329 0.000
-0.828 0.000 4.593
Cu Ir Pt
2 1 1
direct
0.249 0.249 0.244
0.751 0.751 0.756
0.500 0.500 0.000
0.000 0.000 0.500
```

Results
As for the formation energy: 0.0016 eV/atom. Its magnetic moment is 0.0 μB per formula unit. For the calculated density, the calculation gives 16.2 Mg/m³. The raw total energy is -6.36 eV/atom. As for the symmetry: No. 12.

Record 10
Computed, not measured: crystalline ZrBe2Rh2 at its relaxed geometry at the GGA-PBEsol level of DFT.

Structure (POSCAR):
```
ZrBe2Rh2
1.0
6.673 0.000 0.000
0.000 6.673 0.000
0.000 0.000 2.821
Zr Be Rh
2 4 4
direct
0.000 0.000 0.000
0.500 0.500 0.000
0.116 0.384 0.000
0.384 0.884 0.000
0.616 0.116 0.000
0.884 0.616 0.000
0.170 0.670 0.500
0.330 0.170 0.500
0.670 0.830 0.500
0.830 0.330 0.500
```

Results
As for the formation energy: -0.6134 eV/atom. Its magnetic moment is 0.0 μB per formula unit. For the calculated density, the calculation gives 8.3 Mg/m³. The raw total energy is -7.29 eV/atom. As for the symmetry: No. 127.

Record 11
Computed, not measured: crystalline Sc2MnReGe at its relaxed geometry at the GGA-PBEsol level of DFT.

Structure (POSCAR):
```
Sc2MnReGe
1.0
4.843 0.000 0.000
0.000 4.843 0.000
0.000 0.000 4.242
Sc Mn Re Ge
2 1 1 1
direct
0.000 0.500 0.000
0.500 0.000 0.000
0.000 0.000 0.500
0.500 0.500 0.500
0.000 0.000 0.000
```

Results
As for the formation energy: 0.9228 eV/atom. Its magnetic moment is 2.3 μB per formula unit. For the calculated density, the calculation gives 6.7 Mg/m³. The raw total energy is -7.33 eV/atom. As for the symmetry: No. 123.

Record 12
Computed, not measured: crystalline Cd2Rh at its relaxed geometry at the GGA-PBEsol level of DFT.

Structure (POSCAR):
```
Cd2Rh
1.0
0.000 5.998 5.998
5.998 0.000 5.998
5.998 5.998 0.000
Cd Rh
16 8
direct
0.000 0.000 0.000
0.000 0.000 0.500
0.000 0.500 0.000
0.184 0.184 0.566
0.184 0.566 0.184
0.184 0.566 0.566
0.434 0.434 0.816
0.434 0.816 0.434
0.434 0.816 0.816
0.500 0.000 0.000
0.566 0.184 0.184
0.566 0.184 0.566
0.566 0.566 0.184
0.816 0.434 0.434
0.816 0.434 0.816
0.816 0.816 0.434
0.141 0.786 0.786
0.214 0.214 0.214
0.214 0.214 0.859
0.214 0.859 0.214
0.786 0.141 0.786
0.786 0.786 0.141
0.786 0.786 0.786
0.859 0.214 0.214
```

Results
As for the formation energy: -0.0754 eV/atom. Its magnetic moment is 0.0 μB per formula unit. For the calculated density, the calculation gives 10.1 Mg/m³. The raw total energy is -3.59 eV/atom. As for the symmetry: No. 227.

Record 13
Computed, not measured: crystalline Sr3CaCu at its relaxed geometry at the GGA-PBEsol level of DFT.

Structure (POSCAR):
```
Sr3CaCu
1.0
5.955 0.000 0.000
0.000 5.955 0.000
0.000 0.000 5.955
Sr Ca Cu
3 1 1
direct
0.000 0.000 0.500
0.000 0.500 0.000
0.500 0.000 0.000
0.500 0.500 0.500
0.000 0.000 0.000
```

Results
As for the formation energy: 0.0461 eV/atom. Its magnetic moment is 0.0 μB per formula unit. For the calculated density, the calculation gives 2.9 Mg/m³. The raw total energy is -2.35 eV/atom. As for the symmetry: No. 221.

Record 14
Computed, not measured: crystalline CaTaMo2 at its relaxed geometry at the GGA-PBEsol level of DFT.

Structure (POSCAR):
```
CaTaMo2
1.0
4.654 -1.334 0.000
4.654 1.334 0.000
-0.057 0.000 5.843
Ca Ta Mo
1 1 2
direct
0.000 0.000 0.000
0.500 0.500 0.500
0.248 0.248 0.730
0.752 0.752 0.270
```

Results
As for the formation energy: 0.7092 eV/atom. Its magnetic moment is 0.0 μB per formula unit. For the calculated density, the calculation gives 9.5 Mg/m³. The raw total energy is -8.85 eV/atom. As for the symmetry: No. 12.

Record 15
Computed, not measured: crystalline K2TlMo at its relaxed geometry at the GGA-PBEsol level of DFT.

Structure (POSCAR):
```
K2TlMo
1.0
4.145 -2.392 0.000
4.145 2.392 0.000
-2.728 0.000 8.121
K Tl Mo
2 1 1
direct
0.000 0.000 0.000
0.185 0.185 0.564
0.759 0.759 0.282
0.426 0.426 0.282
```

Results
As for the formation energy: 0.9152 eV/atom. Its magnetic moment is 2.8 μB per formula unit. For the calculated density, the calculation gives 3.9 Mg/m³. The raw total energy is -3.25 eV/atom. As for the symmetry: No. 8.

Record 16
Computed, not measured: crystalline La2ZnCl at its relaxed geometry at the GGA-PBEsol level of DFT.

Structure (POSCAR):
```
La2ZnCl
1.0
3.630 0.000 0.000
0.000 3.667 0.000
0.000 0.000 8.197
La Zn Cl
2 1 1
direct
0.000 0.000 0.222
0.000 0.000 0.778
0.500 0.500 0.000
0.000 0.500 0.500
```

Results
Its magnetic moment is 0.0 μB per formula unit. For the calculated density, the calculation gives 5.8 Mg/m³. The raw total energy is -4.44 eV/atom. As for the symmetry: No. 47.

Record 17
Computed, not measured: crystalline NaSe2SBr at its relaxed geometry at the GGA-PBEsol level of DFT.

Structure (POSCAR):
```
NaSe2SBr
1.0
4.839 0.000 0.000
0.000 4.839 0.000
0.000 0.000 5.220
Na Se S Br
1 2 1 1
direct
0.000 0.000 0.000
0.000 0.500 0.500
0.500 0.000 0.500
0.500 0.500 0.500
0.500 0.500 0.000
```

Results
Its magnetic moment is 0.0 μB per formula unit. For the calculated density, the calculation gives 4.0 Mg/m³. The raw total energy is -3.17 eV/atom. As for the symmetry: No. 123.

Record 18
Computed, not measured: crystalline Au3F8 at its relaxed geometry at the GGA-PBEsol level of DFT.

Structure (POSCAR):
```
Au3F8
1.0
5.410 0.000 0.000
0.000 10.618 0.000
-5.331 0.000 5.685
Au F
6 16
direct
0.000 0.000 0.000
0.000 0.500 0.500
0.131 0.177 0.456
0.131 0.323 0.956
0.869 0.677 0.044
0.869 0.823 0.544
0.076 0.660 0.702
0.076 0.840 0.202
0.163 0.591 0.353
0.163 0.909 0.853
0.345 0.020 0.611
0.345 0.480 0.111
0.393 0.233 0.247
0.393 0.267 0.747
0.607 0.733 0.253
0.607 0.767 0.753
0.655 0.520 0.889
0.655 0.980 0.389
0.837 0.091 0.147
0.837 0.409 0.647
0.924 0.160 0.798
0.924 0.340 0.298
```

Results
Its magnetic moment is 1.0 μB per formula unit. For the calculated density, the calculation gives 7.6 Mg/m³. The raw total energy is -3.42 eV/atom. As for the symmetry: No. 14.

Record 19
Computed, not measured: crystalline Zn2TcNi at its relaxed geometry at the GGA-PBEsol level of DFT.

Structure (POSCAR):
```
Zn2TcNi
1.0
2.509 0.000 0.000
0.000 4.143 0.000
-0.657 0.000 4.879
Zn Tc Ni
2 1 1
direct
0.173 0.000 0.258
0.827 0.000 0.742
0.500 0.500 0.000
0.000 0.500 0.500
```

Results
As for the formation energy: 0.0372 eV/atom. Its magnetic moment is 0.0 μB per formula unit. For the calculated density, the calculation gives 9.4 Mg/m³. The raw total energy is -5.11 eV/atom. As for the symmetry: No. 10.

Record 20
Computed, not measured: crystalline CdBi2Te at its relaxed geometry at the GGA-PBEsol level of DFT.

Structure (POSCAR):
```
CdBi2Te
1.0
0.000 3.815 3.815
3.815 0.000 3.815
3.815 3.815 0.000
Cd Bi Te
1 2 1
direct
0.000 0.000 0.000
0.250 0.250 0.250
0.750 0.750 0.750
0.500 0.500 0.500
```

Results
Its magnetic moment is 0.0 μB per formula unit. For the calculated density, the calculation gives 9.8 Mg/m³. The raw total energy is -3.20 eV/atom. As for the symmetry: No. 225.

Record 21
Computed, not measured: crystalline LiRe2 at its relaxed geometry at the GGA-PBEsol level of DFT.

Structure (POSCAR):
```
LiRe2
1.0
4.283 0.000 0.000
-2.142 3.709 0.000
0.000 0.000 2.583
Li Re
1 2
direct
0.000 0.000 0.000
0.333 0.667 0.358
0.667 0.333 0.642
```

Results
As for the formation energy: 0.1422 eV/atom. Its magnetic moment is 0.0 μB per formula unit. For the calculated density, the calculation gives 15.4 Mg/m³. The raw total energy is -9.40 eV/atom. As for the symmetry: No. 164.

Record 22
Computed, not measured: crystalline CuMoCO2 at its relaxed geometry at the GGA-PBEsol level of DFT.

Structure (POSCAR):
```
CuMoCO2
1.0
3.796 0.000 0.000
0.000 3.796 0.000
0.000 0.000 3.562
Cu Mo C O
1 1 1 2
direct
0.000 0.000 0.000
0.500 0.500 0.000
0.000 0.000 0.500
0.000 0.500 0.500
0.500 0.000 0.500
```

Results
Its magnetic moment is 2.8 μB per formula unit. For the calculated density, the calculation gives 6.6 Mg/m³. The raw total energy is -6.10 eV/atom. As for the symmetry: No. 123.

Record 23
Computed, not measured: crystalline Ca4Ta2O9 at its relaxed geometry at the GGA-PBEsol level of DFT.

Structure (POSCAR):
```
Ca4Ta2O9
1.0
5.610 0.000 0.000
-2.805 4.858 0.000
0.000 0.000 14.683
Ca Ta O
8 4 18
direct
0.333 0.667 0.025
0.333 0.667 0.305
0.333 0.667 0.525
0.333 0.667 0.805
0.667 0.333 0.195
0.667 0.333 0.475
0.667 0.333 0.695
0.667 0.333 0.975
0.000 0.000 0.146
0.000 0.000 0.354
0.000 0.000 0.646
0.000 0.000 0.854
0.000 0.262 0.250
0.000 0.738 0.750
0.041 0.325 0.911
0.041 0.716 0.411
0.262 0.000 0.250
0.262 0.262 0.750
0.284 0.325 0.411
0.284 0.959 0.911
0.325 0.041 0.589
0.325 0.284 0.089
0.675 0.716 0.911
0.675 0.959 0.411
0.716 0.041 0.089
0.716 0.675 0.589
0.738 0.000 0.750
0.738 0.738 0.250
0.959 0.284 0.589
0.959 0.675 0.089
```

Results
Its magnetic moment is 0.0 μB per formula unit. For the calculated density, the calculation gives 5.5 Mg/m³. The raw total energy is -8.48 eV/atom. As for the symmetry: No. 165.

Record 24
Computed, not measured: crystalline Zn2Au at its relaxed geometry at the GGA-PBEsol level of DFT.

Structure (POSCAR):
```
Zn2Au
1.0
-1.485 1.485 5.064
1.485 -1.485 5.064
1.485 1.485 -5.064
Zn Au
2 1
direct
0.171 0.171 0.000
0.829 0.829 0.000
0.500 0.500 0.000
```

Results
As for the formation energy: -0.1205 eV/atom. Its magnetic moment is 0.0 μB per formula unit. For the calculated density, the calculation gives 12.2 Mg/m³. The raw total energy is -2.48 eV/atom. As for the symmetry: No. 139.

Record 25
Computed, not measured: crystalline LiAgAu2 at its relaxed geometry at the GGA-PBEsol level of DFT.

Structure (POSCAR):
```
LiAgAu2
1.0
2.796 -4.035 0.000
2.796 4.035 0.000
0.000 0.000 2.840
Li Ag Au
1 1 2
direct
0.000 0.000 0.000
0.500 0.500 0.000
0.000 0.500 0.500
0.500 0.000 0.500
```

Results
As for the formation energy: -0.2894 eV/atom. Its magnetic moment is 0.0 μB per formula unit. For the calculated density, the calculation gives 13.2 Mg/m³. The raw total energy is -3.57 eV/atom. As for the symmetry: No. 65.